(1)
Below is a PBEsol-optimized structure of OsOF5, with properties calculated at the SCAN level.

The structure in POSCAR format:
```
OsOF5
1.0
9.443 0.000 0.000
0.000 8.691 0.000
0.000 0.000 5.038
Os O F
4 4 20
Direct
0.116 0.250 0.060 Os
0.384 0.750 0.560 Os
0.616 0.250 0.440 Os
0.884 0.750 0.940 Os
0.010 0.250 0.792 O
0.490 0.750 0.292 O
0.510 0.250 0.708 O
0.990 0.750 0.208 O
0.014 0.098 0.241 F
0.014 0.402 0.241 F
0.232 0.250 0.367 F
0.240 0.099 0.935 F
0.240 0.401 0.935 F
0.260 0.599 0.435 F
0.260 0.901 0.435 F
0.268 0.750 0.867 F
0.486 0.598 0.741 F
0.486 0.902 0.741 F
0.514 0.098 0.259 F
0.514 0.402 0.259 F
0.732 0.250 0.133 F
0.740 0.099 0.565 F
0.740 0.401 0.565 F
0.760 0.599 0.065 F
0.760 0.901 0.065 F
0.768 0.750 0.633 F
0.986 0.598 0.759 F
0.986 0.902 0.759 F
```

Formation energy without anion corrections: -1.587 eV/atom
Space-group type: Pnma (62)
Crystal system: orthorhombic


(2)
Below is a PBEsol-optimized structure of CrCo2Os, with properties calculated at the SCAN level.

The structure in POSCAR format:
```
CrCo2Os
1.0
2.586 0.000 0.000
-1.293 2.240 0.000
0.000 0.000 24.370
Cr Co Os
3 6 3
Direct
0.000 0.000 0.000 Cr
0.333 0.667 0.667 Cr
0.667 0.333 0.333 Cr
0.000 0.000 0.252 Co
0.000 0.000 0.507 Co
0.333 0.667 0.174 Co
0.333 0.667 0.919 Co
0.667 0.333 0.586 Co
0.667 0.333 0.840 Co
0.000 0.000 0.752 Os
0.333 0.667 0.419 Os
0.667 0.333 0.085 Os
```

Formation energy from the elements: 208.8 meV/atom
Space-group type: R3m (160)
ΔE to the lowest computed polymorph: 2.708 kcal/mol of atoms
Crystal system: trigonal


Total DFT energy (no corrections) readings, ordered: -15.275 -31.010 eV/atom